[1]
GeRuF2, relaxed, DFT GGA-PBE; space group = R-3m, No. 166; excess energy over the best structure of this formula in the dataset = 0.216 eV per atom
1.0
-3.778 -6.638 -2.669
-2.368 -7.723 -0.457
-4.877 -6.455 -0.058
F Ru Ge
2 1 1
Direct
0.088 0.088 0.088 F
0.912 0.912 0.912 F
0.500 0.500 0.500 Ru
0.000 0.000 0.000 Ge

[2]
GeRuF2, relaxed, DFT GGA-PBE; space group = R-3m, No. 166; excess energy over the best structure of this formula in the dataset = 0.000 eV per atom
1.0
-3.076 3.504 6.652
-3.789 0.877 7.131
-1.268 1.774 7.825
Ru F Ge
1 2 1
Direct
0.000 0.000 0.000 Ru
0.916 0.916 0.916 F
0.084 0.084 0.084 F
0.500 0.500 0.500 Ge

[3]
Zn2GeRuF, relaxed, DFT GGA-PBE; raw total energy = -3.269 eV/atom; space group = P4/mmm, No. 123
1.0
4.818 0.000 0.000
0.000 3.943 0.000
0.000 0.000 4.818
F Ge Zn Ru
1 1 2 1
Direct
0.000 0.500 0.000 F
0.000 0.000 0.000 Ge
0.500 0.000 0.000 Zn
0.000 0.000 0.500 Zn
0.500 0.500 0.500 Ru

[4]
Zr2GeRuF, relaxed, DFT GGA-PBE; raw total energy = -6.924 eV/atom; space group = P4/mmm, No. 123
1.0
-3.309 2.153 1.917
-3.100 -3.107 -1.860
0.409 -2.538 3.556
Zr Ge Ru F
2 1 1 1
Direct
0.500 0.000 0.000 Zr
0.000 0.000 0.500 Zr
0.000 0.500 0.000 Ge
0.500 0.500 0.500 Ru
0.000 0.000 0.000 F

[5]
GeSF, relaxed, DFT GGA-PBE; space group = C2/m, No. 12; excess energy over the best structure of this formula in the dataset = 0.032 eV per atom
1.0
-1.776 -1.839 -2.659
4.597 -1.867 0.778
-2.047 -5.855 5.416
F S Ge
2 2 2
Direct
0.121 0.242 0.875 F
0.879 0.758 0.125 F
0.425 0.850 0.418 S
0.575 0.150 0.582 S
0.041 0.082 0.227 Ge
0.959 0.918 0.773 Ge

[6]
GeSF, relaxed, DFT GGA-PBE; space group = I4mm, No. 107; excess energy over the best structure of this formula in the dataset = 0.024 eV per atom
1.0
3.452 0.000 0.000
0.000 3.452 0.000
-1.726 -1.726 5.758
Ge S F
1 1 1
Direct
0.484 0.484 0.969 Ge
0.035 0.035 0.069 S
0.331 0.331 0.662 F

Theoretical density in g/cm³, matching the order above: 6.4, 6.7, 5.9, 6.8, 2.9, 3.0
Total moment in μB per cell, matching the order above: 2.562, 1.177, 2.242, 0.014, 0.000, 0.000